(1)
VASP calculation (PBE) on a geometry-optimized BeW2Cl structure.

Its formation energy (no corrections) is 911 meV per atom. As for the crystal system: orthorhombic. For the total energy, the calculation gives -6.959 eV/atom. The calculation puts the energy above the most stable polymorph in this dataset at 2.39 eV/f.u.

It has space group Pmmm (No. 47), with a = 2.746 Å, b = 4.429 Å, c = 5.016 Å, α = 90.00°, β = 90.00° and γ = 90.00°. The inequivalent atoms are Be at (0.000, 0.000, 0.000), W at (0.000, 0.500, 0.500), W at (0.500, 0.500, 0.000) and Cl at (0.500, 0.000, 0.500).

***

(2)
VASP calculation (PBE) on a geometry-optimized ZnNi2As2 structure.

As for the crystal system: tetragonal. For the total energy, the calculation gives -4.384 eV/atom. As for the formation energy: 0.043 eV per atom.

It has space group P4/mbm (No. 127), with a = 7.261 Å, b = 7.261 Å, c = 2.825 Å, α = 90.00°, β = 90.00° and γ = 90.00°. The inequivalent atoms are Zn at (0.000, 0.000, 0.000), Ni at (0.125, 0.375, 0.500) and As at (0.162, 0.662, 0.000).

***

(3)
VASP calculation (PBE) on a geometry-optimized Sn4Rh structure.

As for the crystal system: tetragonal. For the total energy, the calculation gives -4.936 eV/atom. As for the formation energy: -0.263 eV per atom.

It has space group I4_1/acd (No. 142, origin choice 2), with a = 6.401 Å, b = 6.401 Å, c = 23.163 Å, α = 90.00°, β = 90.00° and γ = 90.00°. The inequivalent atoms are Sn at (0.174, 0.075, 0.438) and Rh at (0.000, 0.250, 0.125).

***

(4)
VASP calculation (PBE) on a geometry-optimized CsSr2PrBr8 structure.

Its formation energy (no corrections) is -1954 meV per atom. As for the crystal system: monoclinic. For the total energy, the calculation gives -3.819 eV/atom.

It has space group P2/m (No. 10), with a = 7.084 Å, b = 9.757 Å, c = 7.305 Å, α = 90.00°, β = 90.27° and γ = 90.00°. The inequivalent atoms are Cs at (0.000, 0.000, 0.000), Sr at (0.500, 0.249, 0.500), Pr at (0.000, 0.500, 0.000), Br at (0.245, 0.292, 0.161), Br at (0.258, 0.500, 0.672) and Br at (0.266, 0.000, 0.605).

***

(5)
VASP calculation (PBE) on a geometry-optimized Ac12Hg6Ru structure.

As for the crystal system: trigonal. For the total energy, the calculation gives -3.424 eV/atom. As for the formation energy: -0.246 eV per atom.

It has space group R-3 (No. 148, hexagonal axes), with a = 13.1416 Å, b = 13.1416 Å, c = 14.5954 Å, α = 90.00°, β = 90.00° and γ = 120.00°. The inequivalent atoms are Ac at (0.0313, 0.1903, 0.3870), Ac at (0.0371, 0.8441, 0.8838), Hg at (0.0098, 0.3985, 0.2547) and Ru at (0.0000, 0.0000, 0.0000).

***

(6)
VASP calculation (PBE) on a geometry-optimized CsBaYF6 structure.

Its formation energy (no corrections) is -3696 meV per atom. As for the crystal system: orthorhombic. For the total energy, the calculation gives -5.970 eV/atom.

It has space group Imma (No. 74), with a = 8.339 Å, b = 8.575 Å, c = 11.481 Å, α = 90.00°, β = 90.00° and γ = 90.00°. The inequivalent atoms are Cs at (0.000, 0.250, 0.103), Ba at (0.000, 0.000, 0.500), Y at (0.250, 0.250, 0.750), F at (0.000, 0.250, 0.379), F at (0.000, 0.250, 0.681) and F at (0.221, 0.072, 0.882).

***

(7)
VASP calculation (PBE) on a geometry-optimized Ac2Mg3ZnCd12 structure.

As for the crystal system: trigonal. For the total energy, the calculation gives -1.446 eV/atom. As for the formation energy: -0.043 eV per atom.

It has space group R-3m (No. 166, hexagonal axes), with a = 6.6560 Å, b = 6.6560 Å, c = 37.7465 Å, α = 90.00°, β = 90.00° and γ = 120.00°. The inequivalent atoms are Ac at (0.0000, 0.0000, 0.1415), Mg at (0.0000, 0.5000, 0.0000), Zn at (0.0000, 0.0000, 0.5000), Cd at (0.0003, 0.5002, 0.1122) and Cd at (0.0355, 0.5177, 0.6112).

***

(8)
VASP calculation (PBE) on a geometry-optimized OsPdSN2 structure.

Its formation energy (no corrections) is 2168 meV per atom. As for the crystal system: tetragonal. For the total energy, the calculation gives -5.272 eV/atom. The calculation puts the energy above the most stable polymorph in this dataset at 7.24 eV/f.u.

It has space group P4/mmm (No. 123), with a = 3.827 Å, b = 3.827 Å, c = 5.012 Å, α = 90.00°, β = 90.00° and γ = 90.00°. The inequivalent atoms are Os at (0.000, 0.000, 0.000), Pd at (0.500, 0.500, 0.500), S at (0.500, 0.500, 0.000) and N at (0.000, 0.500, 0.500).

***

(9)
VASP calculation (PBE) on a geometry-optimized BiPdICl2 structure.

Its formation energy (no corrections) is -241 meV per atom. As for the crystal system: tetragonal. For the total energy, the calculation gives -3.105 eV/atom.

It has space group P4/mmm (No. 123), with a = 4.813 Å, b = 4.813 Å, c = 5.793 Å, α = 90.00°, β = 90.00° and γ = 90.00°. The inequivalent atoms are Bi at (0.000, 0.000, 0.000), Pd at (0.000, 0.000, 0.500), I at (0.500, 0.500, 0.000) and Cl at (0.000, 0.500, 0.500).

***

(10)
VASP calculation (PBE) on a geometry-optimized MnBe2Cr structure.

As for the crystal system: trigonal. For the total energy, the calculation gives -6.382 eV/atom. The calculation puts the energy above the most stable polymorph in this dataset at 1.02 eV/f.u. As for the formation energy: 0.179 eV per atom.

It has space group R-3m (No. 166, hexagonal axes), with a = 2.4404 Å, b = 2.4404 Å, c = 23.4567 Å, α = 90.00°, β = 90.00° and γ = 120.00°. The inequivalent atoms are Mn at (0.0000, 0.0000, 0.0000), Be at (0.0000, 0.0000, 0.2521) and Cr at (0.0000, 0.0000, 0.5000).

***

(11)
VASP calculation (PBE) on a geometry-optimized KSc2Au structure.

As for the crystal system: orthorhombic. For the total energy, the calculation gives -4.225 eV/atom. The calculation puts the energy above the most stable polymorph in this dataset at 0.57 eV/f.u. As for the formation energy: 0.034 eV per atom.

It has space group Imm2 (No. 44), with a = 3.450 Å, b = 4.454 Å, c = 16.968 Å, α = 90.00°, β = 90.00° and γ = 90.00°. The inequivalent atoms are K at (0.000, 0.000, 0.000), Sc at (0.000, 0.000, 0.322), Sc at (0.000, 0.500, 0.185) and Au at (0.000, 0.500, 0.697).

***

(12)
VASP calculation (PBE) on a geometry-optimized Ba2VB2 structure.

As for the crystal system: tetragonal. For the total energy, the calculation gives -4.204 eV/atom. The calculation puts the energy above the most stable polymorph in this dataset at 1.66 eV/f.u. As for the formation energy: 1.059 eV per atom.

It has space group P4/mbm (No. 127), with a = 6.649 Å, b = 6.649 Å, c = 5.110 Å, α = 90.00°, β = 90.00° and γ = 90.00°. The inequivalent atoms are Ba at (0.167, 0.333, 0.000), V at (0.000, 0.000, 0.500) and B at (0.195, 0.695, 0.500).

***

(13)
VASP calculation (PBE) on a geometry-optimized Hf3AlGa3 structure.

As for the crystal system: orthorhombic. For the total energy, the calculation gives -6.574 eV/atom. The calculation puts the energy above the most stable polymorph in this dataset at 0.00 eV/f.u. As for the formation energy: -0.477 eV per atom.

It has space group Cmcm (No. 63), with a = 3.918 Å, b = 9.984 Å, c = 13.075 Å, α = 90.00°, β = 90.00° and γ = 90.00°. The inequivalent atoms are Hf at (0.000, 0.017, 0.250), Hf at (0.000, 0.299, 0.100), Al at (0.000, 0.000, 0.000), Ga at (0.000, 0.253, 0.750) and Ga at (0.000, 0.410, 0.604).

***

(14)
VASP calculation (PBE) on a geometry-optimized CdHBrO structure.

As for the crystal system: trigonal. For the total energy, the calculation gives -3.712 eV/atom.

It has space group R3m (No. 160, hexagonal axes), with a = 3.8048 Å, b = 3.8048 Å, c = 16.7282 Å, α = 90.00°, β = 90.00° and γ = 120.00°. The inequivalent atoms are Cd at (0.0000, 0.0000, 0.0000), H at (0.0000, 0.0000, 0.7741), Br at (0.0000, 0.0000, 0.2236) and O at (0.0000, 0.0000, 0.7155).

***

(15)
VASP calculation (PBE) on a geometry-optimized GdPaBi2 structure.

As for the crystal system: cubic. For the total energy, the calculation gives -8.222 eV/atom. The calculation puts the energy above the most stable polymorph in this dataset at 0.30 eV/f.u. As for the formation energy: -0.387 eV per atom.

It has space group Fm-3m (No. 225), with a = 7.730 Å, b = 7.730 Å, c = 7.730 Å, α = 90.00°, β = 90.00° and γ = 90.00°. The inequivalent atoms are Gd at (0.000, 0.000, 0.000), Pa at (0.000, 0.000, 0.500) and Bi at (0.250, 0.250, 0.250).